Here is an optimized crystal structure of Na2LiRhN from Alexandria via LeMat-Bulk. Energies are from PBE-GGA.

Output
Space group: P4/mmm, No. 123
ΔE_f (raw), eV/atom: 0.026

Lattice parameters (Å, degrees): 4.9637 4.9637 3.7752 90.00 90.00 90.00
Site moments in Bohr magnetons follow the coordinates.
Atoms (fractional coordinates):
Na 0.0000 0.5000 0.0000  0.01
Na 0.5000 0.0000 0.0000  0.01
Li 0.5000 0.5000 0.5000  0.07
Rh 0.0000 0.0000 0.5000  0.07
N 0.0000 0.0000 0.0000  0.05

Here is an optimized crystal structure of TlCu3 from Alexandria via LeMat-Bulk. Energies are from PBE-GGA.

Output
Space group: P-6m2, No. 187
Energy of formation from the pure elements, eV per atom: 0.396

Lattice parameters (Å, degrees): 3.2124 3.2124 7.4646 90.00 90.00 120.00
Atoms (fractional coordinates):
Cu 0.0000 0.0000 0.0345
Cu 0.0000 0.0000 0.4655
Cu 0.6667 0.3333 0.2500
Tl 0.6667 0.3333 0.7500

Here is an optimized crystal structure of MnRh3 from Alexandria via LeMat-Bulk. Energies are from PBE-GGA.

Output
Space group: Fm-3m, No. 225
Energy of formation from the pure elements, eV per atom: 0.131

Lattice parameters (Å, degrees): 4.3354 4.3354 4.3354 60.00 60.00 60.00
Site moments in Bohr magnetons follow the coordinates.
Atoms (fractional coordinates):
Mn 0.0000 0.0000 0.0000  3.56
Rh 0.2500 0.2500 0.2500  0.40
Rh 0.5000 0.5000 0.5000  0.10
Rh 0.7500 0.7500 0.7500  0.40

What did the second record say?
Here is an optimized crystal structure of TlCu3 from Alexandria via LeMat-Bulk. Energies are from PBE-GGA.

Output
Space group: P-6m2, No. 187
Energy of formation from the pure elements, eV per atom: 0.396

Lattice parameters (Å, degrees): 3.2124 3.2124 7.4646 90.00 90.00 120.00
Atoms (fractional coordinates):
Cu 0.0000 0.0000 0.0345
Cu 0.0000 0.0000 0.4655
Cu 0.6667 0.3333 0.2500
Tl 0.6667 0.3333 0.7500